VSbIO2 | PBE with a Hubbard U | relaxed

Unit cell a=4.080 b=4.080 c=6.884 alpha=90.00 beta=90.00 gamma=90.00
Element x y z (fractional)
V1 0.000 0.000 0.000
Sb1 0.500 0.500 0.500
I1 0.500 0.500 0.000
O1 0.000 0.500 0.500
O2 0.500 0.000 0.500

**E**: -4.793 eV per atom
**Polymorph energy (0 for the lowest one)**: 0 meV/atom
**SG**: No. 123